[1]
First-principles (GGA-PBE) data for crystalline LaHg2Au at its relaxed geometry, as listed in Alexandria via LeMat-Bulk.

Unit cell a=3.819 b=3.819 c=6.885 alpha=90.00 beta=90.00 gamma=90.00
Sites, in units of the cell vectors:
La1 0.000 0.000 0.000
Hg1 0.500 0.500 0.281
Hg2 0.500 0.500 0.719
Au1 0.000 0.000 0.500

**Energy of formation**: -329 meV per atom
**Symmetry**: P4/mmm, No. 123



[2]
First-principles (GGA-PBE) data for crystalline RuRhI2N at its relaxed geometry, as listed in Alexandria via LeMat-Bulk.

Unit cell a=5.421 b=5.421 c=4.752 alpha=90.00 beta=90.00 gamma=90.00
Sites, in units of the cell vectors:
Ru1 0.000 0.000 0.000
Rh1 0.000 0.000 0.500
I1 0.000 0.500 0.000
I2 0.500 0.000 0.000
N1 0.500 0.500 0.500

**Energy above the most stable polymorph in this dataset**: 978.7 meV per atom
**Symmetry**: P4/mmm, No. 123
**Energy relative to the elements, uncorrected**: 1756.7 meV/atom



[3]
First-principles (GGA-PBE) data for crystalline AcCe2Si4 at its relaxed geometry, as listed in Alexandria via LeMat-Bulk.

Unit cell a=9.471 b=9.471 c=9.471 alpha=155.78 beta=152.07 gamma=37.30
Sites, in units of the cell vectors:
Ac1 0.000 0.000 0.000
Ce1 0.182 0.682 0.500
Ce2 0.818 0.318 0.500
Si1 0.351 0.851 0.500
Si2 0.431 0.431 0.000
Si3 0.569 0.569 0.000
Si4 0.649 0.149 0.500

**Symmetry**: Immm, No. 71
**Energy relative to the elements, uncorrected**: -640.5 meV/atom



[4]
First-principles (GGA-PBE) data for crystalline Ba3Ge8Pd3 at its relaxed geometry, as listed in Alexandria via LeMat-Bulk.

Unit cell a=9.056 b=9.056 c=9.713 alpha=110.20 beta=110.20 gamma=27.55
Sites, in units of the cell vectors:
Ba1 0.000 0.000 0.000
Ba2 0.292 0.292 0.323
Ba3 0.708 0.708 0.677
Ge1 0.118 0.118 0.410
Ge2 0.187 0.187 0.937
Ge3 0.379 0.379 0.739
Ge4 0.486 0.486 0.324
Ge5 0.514 0.514 0.676
Ge6 0.621 0.621 0.261
Ge7 0.813 0.813 0.063
Ge8 0.882 0.882 0.590
Pd1 0.000 0.000 0.500
Pd2 0.338 0.338 0.959
Pd3 0.662 0.662 0.041

**Energy above the most stable polymorph in this dataset**: 0.0 meV per atom
**Energy of formation**: -449 meV per atom
**Symmetry**: C2/m, No. 12